Density functional theory data (PBE) for a relaxed AsPt2O crystal.

```
data_AsPt2O
_chemical_formula_sum 'As4 Pt8 O4'
_space_group_name_H-M_alt 'I -4 2 d'
_space_group_IT_number 122
_space_group_name_Hall 'I -4 2bw'
_cell_length_a 5.880
_cell_length_b 5.880
_cell_length_c 7.741
_cell_angle_alpha 90.00
_cell_angle_beta 90.00
_cell_angle_gamma 90.00
loop_
_atom_site_label
_atom_site_type_symbol
_atom_site_fract_x
_atom_site_fract_y
_atom_site_fract_z
As1 As 0.000 0.000 0.000
Pt1 Pt 0.222 0.750 0.625
O1 O 0.000 0.000 0.500
```

## Properties
- total moment (Bohr magnetons per cell) = 0.00
- E_form (uncorrected) (eV/atom) = 0.05
- final energy (eV/atom) = -5.37